Version one
# SiNiCl, relaxed, DFT PBE
data_SiNiCl
_chemical_formula_sum 'Si2 Ni2 Cl2'
_cell_length_a 3.047
_cell_length_b 3.047
_cell_length_c 10.742
_cell_angle_alpha 90.00
_cell_angle_beta 90.00
_cell_angle_gamma 90.00
_symmetry_space_group_name_H-M 'I 4 m m'
_symmetry_Int_Tables_number 107
_symmetry_space_group_name_Hall 'I 4 -2'
loop_
_atom_site_label
_atom_site_type_symbol
_atom_site_fract_x
_atom_site_fract_y
_atom_site_fract_z
_atom_site_occupancy
Si1 Si 0.000 0.000 0.000 1
Ni1 Ni 0.000 0.000 0.419 1
Cl1 Cl 0.000 0.000 0.197 1
# D(E_F): 1.99 states/eV/cell

=====

Version two
# SiNiCl, relaxed, DFT PBE
data_SiNiCl
_chemical_formula_sum 'Si4 Ni4 Cl4'
_cell_length_a 3.985
_cell_length_b 4.925
_cell_length_c 10.937
_cell_angle_alpha 90.00
_cell_angle_beta 90.00
_cell_angle_gamma 90.00
_symmetry_space_group_name_H-M 'F m m 2'
_symmetry_Int_Tables_number 42
_symmetry_space_group_name_Hall 'F 2 -2'
loop_
_atom_site_label
_atom_site_type_symbol
_atom_site_fract_x
_atom_site_fract_y
_atom_site_fract_z
_atom_site_occupancy
Si1 Si 0.000 0.000 0.000 1
Ni1 Ni 0.000 0.000 0.407 1
Cl1 Cl 0.000 0.000 0.770 1
# D(E_F): 5.09 states/eV/cell

=====

Version three
# SiNiCl, relaxed, DFT PBE
data_SiNiCl
_chemical_formula_sum 'Si1 Ni1 Cl1'
_cell_length_a 3.3685
_cell_length_b 3.3685
_cell_length_c 5.0755
_cell_angle_alpha 90.00
_cell_angle_beta 90.00
_cell_angle_gamma 120.00
_symmetry_space_group_name_H-M 'P 3 m 1'
_symmetry_Int_Tables_number 156
loop_
_symmetry_equiv_pos_as_xyz
'x,y,z'
'-y,x-y,z'
'-x+y,-x,z'
'-y,-x,z'
'-x+y,y,z'
'x,x-y,z'
loop_
_atom_site_label
_atom_site_type_symbol
_atom_site_fract_x
_atom_site_fract_y
_atom_site_fract_z
_atom_site_occupancy
Si1 Si 0.0000 0.0000 0.0000 1
Ni1 Ni 0.3333 0.6667 0.7729 1
Cl1 Cl 0.6667 0.3333 0.4626 1
# D(E_F): 1.11 states/eV/cell

=====

Version four
# SiNiCl, relaxed, DFT PBE
data_SiNiCl
_chemical_formula_sum 'Si4 Ni4 Cl4'
_cell_length_a 5.895
_cell_length_b 5.895
_cell_length_c 5.895
_cell_angle_alpha 90.00
_cell_angle_beta 90.00
_cell_angle_gamma 90.00
_symmetry_space_group_name_H-M 'F -4 3 m'
_symmetry_Int_Tables_number 216
_symmetry_space_group_name_Hall 'F -4 2 3'
loop_
_atom_site_label
_atom_site_type_symbol
_atom_site_fract_x
_atom_site_fract_y
_atom_site_fract_z
_atom_site_occupancy
Si1 Si 0.000 0.000 0.000 1
Ni1 Ni 0.250 0.250 0.250 1
Cl1 Cl 0.000 0.000 0.500 1
# D(E_F): 7.97 states/eV/cell

=====

Least stable = version four

=====

Version one
# SiTcNiCl, relaxed, DFT PBE
data_SiTcNiCl
_chemical_formula_sum 'Si1 Tc1 Ni1 Cl1'
_cell_length_a 2.863
_cell_length_b 3.457
_cell_length_c 6.561
_cell_angle_alpha 90.00
_cell_angle_beta 90.00
_cell_angle_gamma 90.00
_symmetry_space_group_name_H-M 'P m m 2'
_symmetry_Int_Tables_number 25
loop_
_symmetry_equiv_pos_as_xyz
'x,y,z'
'-x,-y,z'
'-x,y,z'
'x,-y,z'
loop_
_atom_site_label
_atom_site_type_symbol
_atom_site_fract_x
_atom_site_fract_y
_atom_site_fract_z
_atom_site_occupancy
Si1 Si 0.000 0.000 0.000 1
Tc1 Tc 0.000 0.500 0.751 1
Ni1 Ni 0.500 0.500 0.108 1
Cl1 Cl 0.500 0.500 0.458 1
# D(E_F): 2.29 states/eV/cell

=====

Version two
# SiTcNiCl, relaxed, DFT PBE
data_SiTcNiCl
_chemical_formula_sum 'Si2 Tc2 Ni2 Cl2'
_cell_length_a 7.282
_cell_length_b 3.028
_cell_length_c 6.297
_cell_angle_alpha 90.00
_cell_angle_beta 99.16
_cell_angle_gamma 90.00
_symmetry_space_group_name_H-M 'C 1 m 1'
_symmetry_Int_Tables_number 8
loop_
_symmetry_equiv_pos_as_xyz
'x,y,z'
'x,-y,z'
'x+1/2,y+1/2,z'
'x+1/2,-y+1/2,z'
loop_
_atom_site_label
_atom_site_type_symbol
_atom_site_fract_x
_atom_site_fract_y
_atom_site_fract_z
_atom_site_occupancy
Si1 Si 0.000 0.000 0.000 1
Tc1 Tc 0.266 0.000 0.827 1
Ni1 Ni 0.221 0.500 0.160 1
Cl1 Cl 0.213 0.500 0.514 1
# D(E_F): 2.42 states/eV/cell

=====

Version three
# SiTcNiCl, relaxed, DFT PBE
data_SiTcNiCl
_chemical_formula_sum 'Si2 Tc2 Ni2 Cl2'
_cell_length_a 5.656
_cell_length_b 3.096
_cell_length_c 7.434
_cell_angle_alpha 90.00
_cell_angle_beta 109.02
_cell_angle_gamma 90.00
_symmetry_space_group_name_H-M 'C 1 m 1'
_symmetry_Int_Tables_number 8
loop_
_symmetry_equiv_pos_as_xyz
'x,y,z'
'x,-y,z'
'x+1/2,y+1/2,z'
'x+1/2,-y+1/2,z'
loop_
_atom_site_label
_atom_site_type_symbol
_atom_site_fract_x
_atom_site_fract_y
_atom_site_fract_z
_atom_site_occupancy
Si1 Si 0.000 0.000 0.000 1
Tc1 Tc 0.419 0.000 0.222 1
Ni1 Ni 0.243 0.000 0.813 1
Cl1 Cl 0.136 0.000 0.501 1
# D(E_F): 4.46 states/eV/cell

=====

Version four
# SiTcNiCl, relaxed, DFT PBE
data_SiTcNiCl
_chemical_formula_sum 'Si2 Tc2 Ni2 Cl2'
_cell_length_a 3.052
_cell_length_b 2.931
_cell_length_c 13.486
_cell_angle_alpha 90.00
_cell_angle_beta 90.00
_cell_angle_gamma 90.00
_symmetry_space_group_name_H-M 'A m m 2'
_symmetry_Int_Tables_number 38
loop_
_symmetry_equiv_pos_as_xyz
'x,y,z'
'-x,-y,z'
'-x,y,z'
'x,-y,z'
'x,y+1/2,z+1/2'
'-x,-y+1/2,z+1/2'
'-x,y+1/2,z+1/2'
'x,-y+1/2,z+1/2'
loop_
_atom_site_label
_atom_site_type_symbol
_atom_site_fract_x
_atom_site_fract_y
_atom_site_fract_z
_atom_site_occupancy
Si1 Si 0.000 0.000 0.000 1
Tc1 Tc 0.500 0.000 0.396 1
Ni1 Ni 0.500 0.000 0.588 1
Cl1 Cl 0.500 0.000 0.753 1
# D(E_F): 7.43 states/eV/cell

=====

Least stable = version one

=====

Version one
# Sm4NiCl5, relaxed, DFT PBE
data_Sm4NiCl5
_chemical_formula_sum 'Sm8 Ni2 Cl10'
_cell_length_a 18.208
_cell_length_b 3.944
_cell_length_c 8.327
_cell_angle_alpha 90.00
_cell_angle_beta 104.81
_cell_angle_gamma 90.00
_symmetry_space_group_name_H-M 'C 1 2/m 1'
_symmetry_Int_Tables_number 12
loop_
_symmetry_equiv_pos_as_xyz
'x,y,z'
'-x,-y,-z'
'-x,y,-z'
'x,-y,z'
'x+1/2,y+1/2,z'
'-x+1/2,-y+1/2,-z'
'-x+1/2,y+1/2,-z'
'x+1/2,-y+1/2,z'
loop_
_atom_site_label
_atom_site_type_symbol
_atom_site_fract_x
_atom_site_fract_y
_atom_site_fract_z
_atom_site_occupancy
Sm1 Sm 0.001 0.000 0.277 1
Sm2 Sm 0.153 0.500 0.596 1
Ni1 Ni 0.000 0.500 0.500 1
Cl1 Cl 0.000 0.500 0.000 1
Cl2 Cl 0.166 0.000 0.841 1
Cl3 Cl 0.173 0.000 0.358 1
# D(E_F): 10.05 states/eV/cell

=====

Version two
# Sm4NiCl5, relaxed, DFT PBE
data_Sm4NiCl5
_chemical_formula_sum 'Sm8 Ni2 Cl10'
_cell_length_a 18.560
_cell_length_b 3.980
_cell_length_c 8.366
_cell_angle_alpha 90.00
_cell_angle_beta 90.42
_cell_angle_gamma 90.00
_symmetry_space_group_name_H-M 'C 1 2/m 1'
_symmetry_Int_Tables_number 12
loop_
_symmetry_equiv_pos_as_xyz
'x,y,z'
'-x,-y,-z'
'-x,y,-z'
'x,-y,z'
'x+1/2,y+1/2,z'
'-x+1/2,-y+1/2,-z'
'-x+1/2,y+1/2,-z'
'x+1/2,-y+1/2,z'
loop_
_atom_site_label
_atom_site_type_symbol
_atom_site_fract_x
_atom_site_fract_y
_atom_site_fract_z
_atom_site_occupancy
Sm1 Sm 0.000 0.000 0.227 1
Sm2 Sm 0.143 0.500 0.002 1
Ni1 Ni 0.000 0.500 0.000 1
Cl1 Cl 0.000 0.500 0.500 1
Cl2 Cl 0.157 0.000 0.237 1
Cl3 Cl 0.157 0.000 0.767 1
# D(E_F): 7.23 states/eV/cell

=====

Least stable = version two